The following is a DFT calculation (PBE+U) of a relaxed SrPr2WO8 crystal.

Properties
The crystal system is triclinic. The total energy is -88.72 eV per formula unit.

Structure (CIF):
```
data_SrPr2WO8
_cell_length_a 4.370
_cell_length_b 5.444
_cell_length_c 7.134
_cell_angle_alpha 90.04
_cell_angle_beta 107.48
_cell_angle_gamma 90.01
_symmetry_space_group_name_H-M 'P -1'
_symmetry_Int_Tables_number 2
loop_
_symmetry_equiv_pos_as_xyz
'x,y,z'
'-x,-y,-z'
loop_
_atom_site_label
_atom_site_type_symbol
_atom_site_fract_x
_atom_site_fract_y
_atom_site_fract_z
_atom_site_occupancy
Sr1 Sr 0.000 0.000 0.000 1
Pr1 Pr 0.373 0.499 0.704 1
W1 W 0.000 0.000 0.500 1
O1 O 0.169 0.500 0.998 1
O2 O 0.188 0.262 0.386 1
O3 O 0.189 0.736 0.388 1
O4 O 0.347 0.002 0.753 1
```